# 1
The following is a DFT calculation (PBE) of Sc2SnAu after structural relaxation.

Output
Density of states at the Fermi level: 3.9 states/eV/f.u.
Formation energy: -0.70 eV per atom

Cell: 4.397 5.806 7.388 Å, 110.07 90.00 90.00°
Sites, in units of the cell vectors:
Au  0.750  0.673  0.802
Au  0.250  0.327  0.198
Sc  0.250  0.780  0.584
Sc  0.750  0.191  0.933
Sc  0.750  0.220  0.416
Sc  0.250  0.809  0.067
Sn  0.750  0.680  0.291
Sn  0.250  0.320  0.709

=====

# 2
The following is a DFT calculation (PBE) of Sr2ScSnAu6 after structural relaxation.

Output
Density of states at the Fermi level: 5.7 states/eV/f.u.
Formation energy: -0.28 eV per atom

Cell: 7.453 7.453 7.453 Å, 60.00 60.00 90.00°
Sites, in units of the cell vectors:
Sr  0.250  0.750  0.500
Sr  0.750  0.250  0.500
Au  0.747  0.253  0.000
Au  0.253  0.747  0.000
Au  0.747  0.747  0.000
Au  0.747  0.747  0.505
Au  0.253  0.253  0.000
Au  0.253  0.253  0.495
Sn  0.000  0.000  0.000
Sc  0.500  0.500  0.000